(1)
KNbCu2: relaxed, GGA-PBE.

The calculation puts the energy above the most stable polymorph in this dataset at 44 meV/atom. The calculation puts the formation energy at 1132 meV per atom. Its symmetry is I-42d, No. 122. The density of states at the Fermi level comes out at 7.1 states/eV per cell.

a = 6.307 Å, b = 6.307 Å, c = 6.307 Å
α = 107.27°, β = 107.27°, γ = 113.96°
Fractional positions:
K  0.000  0.000  0.000
K  0.750  0.250  0.500
Nb  0.250  0.750  0.500
Nb  0.500  0.500  0.000
Cu  0.184  0.625  0.059
Cu  0.375  0.434  0.559
Cu  0.566  0.125  0.941
Cu  0.875  0.816  0.441


(2)
Ce2GeRh4: relaxed, GGA-PBE.

The calculation puts the formation energy at -525 meV per atom. Its symmetry is Fmm2, No. 42. The density of states at the Fermi level comes out at 7.0 states/eV per cell.

a = 6.271 Å, b = 4.984 Å, c = 6.508 Å
α = 64.55°, β = 45.86°, γ = 69.59°
Fractional positions:
Ce  0.000  0.000  0.500
Ce  0.500  0.500  0.000
Ge  0.081  0.081  0.919
Rh  0.215  0.588  0.785
Rh  0.588  0.215  0.412
Rh  0.606  0.860  0.140
Rh  0.860  0.606  0.394


(3)
CsRb5F6: relaxed, GGA-PBE.

The calculation puts the total energy at -4.072 eV per atom. Its symmetry is C2/m, No. 12. The density of states at the Fermi level comes out at 0.0 states/eV per cell.

a = 7.090 Å, b = 7.090 Å, c = 7.098 Å
α = 99.68°, β = 99.68°, γ = 119.91°
Fractional positions:
Cs  0.000  0.000  0.000
Rb  0.167  0.833  0.500
Rb  0.333  0.667  0.000
Rb  0.500  0.500  0.500
Rb  0.667  0.333  0.000
Rb  0.833  0.167  0.500
F  0.084  0.426  0.253
F  0.257  0.257  0.743
F  0.426  0.084  0.253
F  0.574  0.916  0.747
F  0.743  0.743  0.257
F  0.916  0.574  0.747


(4)
KPdSN2: relaxed, GGA-PBE.

The calculation puts the energy above the most stable polymorph in this dataset at 1452 meV/atom. Its symmetry is P4/mmm, No. 123. The density of states at the Fermi level comes out at 5.0 states/eV per cell.

a = 4.809 Å, b = 4.809 Å, c = 5.961 Å
α = 90.00°, β = 90.00°, γ = 90.00°
Fractional positions:
K  0.000  0.000  0.000
Pd  0.500  0.500  0.500
S  0.000  0.000  0.500
N  0.000  0.500  0.000
N  0.500  0.000  0.000


(5)
TaRe: relaxed, GGA-PBE.

The calculation puts the formation energy at -250 meV per atom. Its symmetry is Cm, No. 8. The density of states at the Fermi level comes out at 2.6 states/eV per cell.

a = 5.345 Å, b = 5.345 Å, c = 6.379 Å
α = 107.49°, β = 107.49°, γ = 34.79°
Fractional positions:
Ta  0.000  0.000  0.000
Ta  0.004  0.004  0.507
Ta  0.327  0.327  0.167
Re  0.335  0.335  0.669
Re  0.667  0.667  0.339
Re  0.667  0.667  0.835


(6)
NdDy7Er2: relaxed, GGA-PBE.

The calculation puts the energy above the most stable polymorph in this dataset at 0 meV/atom. The calculation puts the formation energy at 656 meV per atom. Its symmetry is Cmmm, No. 65. The density of states at the Fermi level comes out at 14.0 states/eV per cell.

a = 9.481 Å, b = 9.481 Å, c = 5.452 Å
α = 90.00°, β = 90.00°, γ = 127.79°
Fractional positions:
Nd  0.000  0.000  0.000
Dy  0.090  0.292  0.500
Dy  0.292  0.090  0.500
Dy  0.399  0.601  0.000
Dy  0.500  0.500  0.500
Dy  0.601  0.399  0.000
Dy  0.708  0.910  0.500
Dy  0.910  0.708  0.500
Er  0.270  0.730  0.500
Er  0.730  0.270  0.500


(7)
LaHf: relaxed, GGA-PBE.

The calculation puts the energy above the most stable polymorph in this dataset at 0 meV/atom. The calculation puts the formation energy at 196 meV per atom. Its symmetry is P4/m, No. 83. The density of states at the Fermi level comes out at 22.9 states/eV per cell.

a = 11.987 Å, b = 11.987 Å, c = 3.327 Å
α = 90.00°, β = 90.00°, γ = 90.00°
Fractional positions:
La  0.126  0.172  0.000
La  0.172  0.874  0.000
La  0.331  0.632  0.500
La  0.368  0.331  0.500
La  0.632  0.669  0.500
La  0.669  0.368  0.500
La  0.828  0.126  0.000
La  0.874  0.828  0.000
Hf  0.059  0.654  0.500
Hf  0.125  0.454  0.000
Hf  0.346  0.059  0.500
Hf  0.454  0.875  0.000
Hf  0.546  0.125  0.000
Hf  0.654  0.941  0.500
Hf  0.875  0.546  0.000
Hf  0.941  0.346  0.500


(8)
Cs2CdPt: relaxed, GGA-PBE.

The calculation puts the energy above the most stable polymorph in this dataset at 284 meV/atom. The calculation puts the formation energy at 128 meV per atom. Its symmetry is Fm-3m, No. 225. The density of states at the Fermi level comes out at 0.0 states/eV per cell.

a = 6.049 Å, b = 6.049 Å, c = 6.049 Å
α = 60.00°, β = 60.00°, γ = 60.00°
Fractional positions:
Cs  0.250  0.250  0.250
Cs  0.750  0.750  0.750
Cd  0.000  0.000  0.000
Pt  0.500  0.500  0.500


(9)
Li2CeVN4: relaxed, GGA-PBE.

The calculation puts the total energy at -7.273 eV per atom. Its symmetry is I-42m, No. 121. The density of states at the Fermi level comes out at 5.5 states/eV per cell.

a = 5.007 Å, b = 5.007 Å, c = 5.007 Å
α = 116.83°, β = 116.83°, γ = 95.58°
Fractional positions:
Li  0.250  0.750  0.500
Li  0.750  0.250  0.500
Ce  0.000  0.000  0.000
V  0.500  0.500  0.000
N  0.149  0.563  0.000
N  0.437  0.437  0.586
N  0.563  0.149  0.000
N  0.851  0.851  0.414


(10)
ZnSiPt2: relaxed, GGA-PBE.

The calculation puts the total energy at -5.198 eV per atom. Its symmetry is Cm, No. 8. The density of states at the Fermi level comes out at 0.8 states/eV per cell.

a = 4.769 Å, b = 4.769 Å, c = 4.217 Å
α = 104.96°, β = 104.96°, γ = 39.49°
Fractional positions:
Zn  0.000  0.000  0.000
Si  0.761  0.761  0.366
Pt  0.258  0.258  0.873
Pt  0.492  0.492  0.484


(11)
NdTh2P3Rh12: relaxed, GGA-PBE.

The calculation puts the formation energy at -438 meV per atom. Its symmetry is R-3m, No. 166. The density of states at the Fermi level comes out at 15.6 states/eV per cell.

a = 6.813 Å, b = 6.813 Å, c = 6.813 Å
α = 83.11°, β = 83.11°, γ = 83.11°
Fractional positions:
Nd  0.000  0.000  0.000
Th  0.371  0.371  0.371
Th  0.629  0.629  0.629
P  0.000  0.000  0.500
P  0.000  0.500  0.000
P  0.500  0.000  0.000
Rh  0.093  0.637  0.637
Rh  0.180  0.180  0.655
Rh  0.180  0.655  0.180
Rh  0.345  0.820  0.820
Rh  0.363  0.363  0.907
Rh  0.363  0.907  0.363
Rh  0.637  0.093  0.637
Rh  0.637  0.637  0.093
Rh  0.655  0.180  0.180
Rh  0.820  0.345  0.820
Rh  0.820  0.820  0.345
Rh  0.907  0.363  0.363


(12)
Tb4Zn2C: relaxed, GGA-PBE.

The calculation puts the formation energy at 12 meV per atom. Its symmetry is I4/mmm, No. 139. The density of states at the Fermi level comes out at 7.5 states/eV per cell.

a = 8.585 Å, b = 8.585 Å, c = 8.585 Å
α = 147.85°, β = 147.85°, γ = 46.11°
Fractional positions:
Tb  0.000  0.500  0.500
Tb  0.190  0.190  0.000
Tb  0.500  0.000  0.500
Tb  0.810  0.810  0.000
Zn  0.370  0.370  0.000
Zn  0.630  0.630  0.000
C  0.500  0.500  0.000


(13)
CsH2BrO: relaxed, GGA-PBE.

The calculation puts the total energy at -3.948 eV per atom. Its symmetry is Cmcm, No. 63. The density of states at the Fermi level comes out at 0.0 states/eV per cell.

a = 5.668 Å, b = 5.668 Å, c = 7.926 Å
α = 90.00°, β = 90.00°, γ = 99.91°
Fractional positions:
Cs  0.210  0.790  0.750
Cs  0.790  0.210  0.250
H  0.416  0.584  0.083
H  0.416  0.584  0.417
H  0.584  0.416  0.583
H  0.584  0.416  0.917
Br  0.217  0.783  0.250
Br  0.783  0.217  0.750
O  0.500  0.500  0.000
O  0.500  0.500  0.500


(14)
Ba3VHg: relaxed, GGA-PBE.

The calculation puts the energy above the most stable polymorph in this dataset at 0 meV/atom. The calculation puts the formation energy at 527 meV per atom. Its symmetry is Pm-3m, No. 221. The density of states at the Fermi level comes out at 6.8 states/eV per cell.

a = 6.151 Å, b = 6.151 Å, c = 6.151 Å
α = 90.00°, β = 90.00°, γ = 90.00°
Fractional positions:
Ba  0.000  0.000  0.500
Ba  0.000  0.500  0.000
Ba  0.500  0.000  0.000
V  0.000  0.000  0.000
Hg  0.500  0.500  0.500


(15)
BiTeN2: relaxed, GGA-PBE.

The calculation puts the energy above the most stable polymorph in this dataset at 867 meV/atom. Its symmetry is R-3m, No. 166. The density of states at the Fermi level comes out at 1.4 states/eV per cell.

a = 7.446 Å, b = 7.446 Å, c = 7.446 Å
α = 26.38°, β = 26.38°, γ = 26.38°
Fractional positions:
Bi  0.000  0.000  0.000
Te  0.500  0.500  0.500
N  0.113  0.113  0.113
N  0.887  0.887  0.887


(16)
Er2Zn15Co2: relaxed, GGA-PBE.

The calculation puts the formation energy at -168 meV per atom. Its symmetry is R-3m, No. 166. The density of states at the Fermi level comes out at 9.2 states/eV per cell.

a = 6.701 Å, b = 6.701 Å, c = 6.701 Å
α = 82.65°, β = 82.65°, γ = 82.65°
Fractional positions:
Er  0.169  0.169  0.169
Er  0.831  0.831  0.831
Zn  0.000  0.500  0.500
Zn  0.149  0.149  0.651
Zn  0.149  0.651  0.149
Zn  0.214  0.500  0.786
Zn  0.214  0.786  0.500
Zn  0.349  0.851  0.851
Zn  0.500  0.000  0.500
Zn  0.500  0.214  0.786
Zn  0.500  0.500  0.000
Zn  0.500  0.786  0.214
Zn  0.651  0.149  0.149
Zn  0.786  0.214  0.500
Zn  0.786  0.500  0.214
Zn  0.851  0.349  0.851
Zn  0.851  0.851  0.349
Co  0.407  0.407  0.407
Co  0.593  0.593  0.593


(17)
K12Rb7Pb: relaxed, GGA-PBE.

The calculation puts the formation energy at 42 meV per atom. Its symmetry is R-3, No. 148. The density of states at the Fermi level comes out at 16.8 states/eV per cell.

a = 14.992 Å, b = 14.992 Å, c = 14.992 Å
α = 116.74°, β = 116.74°, γ = 116.74°
Fractional positions:
K  0.000  0.409  0.591
K  0.000  0.591  0.409
K  0.050  0.410  0.051
K  0.051  0.050  0.410
K  0.409  0.000  0.591
K  0.409  0.591  0.000
K  0.410  0.051  0.050
K  0.590  0.949  0.950
K  0.591  0.000  0.409
K  0.591  0.409  0.000
K  0.949  0.950  0.590
K  0.950  0.590  0.949
Rb  0.000  0.000  0.000
Rb  0.167  0.399  0.400
Rb  0.399  0.400  0.167
Rb  0.400  0.167  0.399
Rb  0.600  0.833  0.601
Rb  0.601  0.600  0.833
Rb  0.833  0.601  0.600
Pb  0.500  0.500  0.500


(18)
CaTe2Br: relaxed, GGA-PBE.

The calculation puts the energy above the most stable polymorph in this dataset at 286 meV/atom. Its symmetry is C2/m, No. 12. The density of states at the Fermi level comes out at 2.4 states/eV per cell.

a = 5.618 Å, b = 5.618 Å, c = 5.525 Å
α = 106.21°, β = 106.21°, γ = 115.23°
Fractional positions:
Ca  0.000  0.000  0.000
Te  0.000  0.500  0.500
Te  0.500  0.000  0.500
Br  0.500  0.500  0.000


(19)
Na2HfMgTe4: relaxed, GGA-PBE.

The calculation puts the total energy at -4.221 eV per atom. Its symmetry is P2/m, No. 10. The density of states at the Fermi level comes out at 0.3 states/eV per cell.

a = 7.403 Å, b = 4.225 Å, c = 7.899 Å
α = 90.00°, β = 107.97°, γ = 90.00°
Fractional positions:
Na  0.000  0.000  0.000
Na  0.500  0.500  0.000
Hf  0.000  0.500  0.500
Mg  0.500  0.000  0.500
Te  0.231  0.000  0.721
Te  0.255  0.500  0.284
Te  0.745  0.500  0.716
Te  0.769  0.000  0.279


(20)
BaV2Cu: relaxed, GGA-PBE.

The calculation puts the energy above the most stable polymorph in this dataset at 0 meV/atom. The calculation puts the formation energy at 973 meV per atom. Its symmetry is I-42d, No. 122. The density of states at the Fermi level comes out at 10.7 states/eV per cell.

a = 10.447 Å, b = 10.447 Å, c = 10.447 Å
α = 155.80°, β = 155.80°, γ = 34.49°
Fractional positions:
Ba  0.000  0.000  0.000
Ba  0.750  0.250  0.500
V  0.353  0.125  0.728
V  0.375  0.647  0.772
V  0.397  0.625  0.272
V  0.875  0.603  0.228
Cu  0.250  0.750  0.500
Cu  0.500  0.500  0.000


What did we get for total magnetization? Answer: 3.6, 0.0, 0.4, 6.6, 0.0, 0.0, 0.0, 0.0, 0.0, 0.0, 0.0, 0.0, 0.0, 2.9, 0.0, 2.3, 0.0, 0.0, 0.0, 2.1 Bohr magnetons per cell, in the order shown.